Entry 1:
A plane-wave DFT calculation with meta-GGA SCAN was carried out for a crystal of MnHgP2 relaxed with PBEsol.

```
MnHgP2
1.0
4.137 0.016 0.024
-1.257 4.262 -0.017
-1.257 -1.623 3.941
Hg Mn P
1 1 2
direct
0.500 0.000 0.000
0.500 0.500 0.500
0.000 0.000 0.500
0.000 0.500 0.000
```

Calculated values
Total magnetization (μB per cell): 4.21
Symmetry: No. 12
Energy (eV/atom): -26.570
Energy relative to the elements (eV per atom): 0.23

=====

Entry 2:
A plane-wave DFT calculation with meta-GGA SCAN was carried out for a crystal of MnHgP2 relaxed with PBEsol.

```
MnHgP2
1.0
2.734 0.000 0.000
0.000 3.668 -0.011
-1.367 -1.567 6.496
P Mn Hg
2 1 1
direct
0.102 0.044 0.204
0.222 0.745 0.443
0.745 0.284 0.490
0.431 0.427 0.863
```

Calculated values
Total magnetization (μB per cell): 0.00
Symmetry: No. 8
Energy (eV/atom): -26.653
Energy relative to the elements (eV per atom): 0.15

=====

Entry 3:
A plane-wave DFT calculation with meta-GGA SCAN was carried out for a crystal of MnHgP2 relaxed with PBEsol.

```
MnHgP2
1.0
2.885 0.000 0.000
0.000 2.885 0.000
0.000 0.000 7.883
P Hg Mn
2 1 1
direct
0.000 0.000 0.831
0.500 0.500 0.217
0.000 0.000 0.501
0.500 0.500 0.950
```

Calculated values
Total magnetization (μB per cell): 0.63
Symmetry: No. 99
Energy (eV/atom): -26.600
Energy relative to the elements (eV per atom): 0.20

=====

Entry 4:
A plane-wave DFT calculation with meta-GGA SCAN was carried out for a crystal of MnHgPS2 relaxed with PBEsol.

```
MnHgPS2
1.0
4.839 0.000 0.000
0.000 4.931 0.000
0.000 0.000 4.931
Hg S Mn P
1 2 1 1
direct
0.000 0.000 0.000
0.000 0.000 0.500
0.000 0.500 0.000
0.500 0.500 0.500
0.500 0.000 0.000
```

Calculated values
Total magnetization (μB per cell): 3.45
Symmetry: No. 123
Energy (eV/atom): -22.290
Formation energy without anion corrections (eV per atom): 0.93

=====

Entry 5:
A plane-wave DFT calculation with meta-GGA SCAN was carried out for a crystal of MnHgPb3 relaxed with PBEsol.

```
MnHgPb3
1.0
5.577 0.000 0.000
0.000 5.577 0.000
0.000 0.000 5.577
Hg Pb Mn
1 3 1
direct
0.000 0.000 0.000
0.000 0.000 0.500
0.000 0.500 0.000
0.500 0.000 0.000
0.500 0.500 0.500
```

Calculated values
Total magnetization (μB per cell): 4.97
Symmetry: No. 221
Energy (eV/atom): -62.042
Energy relative to the elements (eV per atom): 0.71

=====

Entry 6:
A plane-wave DFT calculation with meta-GGA SCAN was carried out for a crystal of MnHgPb2 relaxed with PBEsol.

```
MnHgPb2
1.0
-2.307 1.634 1.741
-1.783 -2.790 0.256
4.170 -1.988 7.393
Hg Mn Pb
1 1 2
direct
0.500 0.500 0.000
0.500 0.500 0.500
0.000 0.000 0.291
0.000 0.000 0.709
```

Calculated values
Total magnetization (μB per cell): 3.99
Symmetry: No. 123
Energy (eV/atom): -59.421
Energy relative to the elements (eV per atom): 0.07

=====

Entry 7:
A plane-wave DFT calculation with meta-GGA SCAN was carried out for a crystal of MnHgPb relaxed with PBEsol.

```
MnHgPb
1.0
-0.546 -2.702 -3.819
-1.589 -4.412 0.444
-4.325 -1.108 -1.502
Pb Mn Hg
1 1 1
direct
0.500 0.500 0.500
0.000 0.000 0.000
0.250 0.250 0.250
```

Calculated values
Total magnetization (μB per cell): 4.79
Symmetry: No. 216
Energy (eV/atom): -53.939
Energy relative to the elements (eV per atom): 0.13

=====

Entry 8:
A plane-wave DFT calculation with meta-GGA SCAN was carried out for a crystal of MnHgPb2 relaxed with PBEsol.

```
MnHgPb2
1.0
-0.236 3.120 1.586
1.015 -2.170 4.421
4.879 1.765 -2.747
Pb Hg Mn
2 1 1
direct
0.000 0.000 0.000
0.500 0.000 0.500
0.500 0.500 0.000
0.000 0.500 0.500
```

Calculated values
Total magnetization (μB per cell): 4.46
Symmetry: No. 10
Energy (eV/atom): -59.366
Energy relative to the elements (eV per atom): 0.13

=====

Entry 9:
A plane-wave DFT calculation with meta-GGA SCAN was carried out for a crystal of Mn2TlHgPb relaxed with PBEsol.

```
Mn2TlHgPb
1.0
5.019 0.000 0.000
0.000 5.019 0.000
0.000 0.000 5.451
Mn Tl Hg Pb
2 1 1 1
direct
0.000 0.500 0.000
0.500 0.000 0.000
0.000 0.000 0.500
0.000 0.000 0.000
0.500 0.500 0.500
```

Calculated values
Total magnetization (μB per cell): 8.61
Symmetry: No. 123
Energy (eV/atom): -50.053
Energy relative to the elements (eV per atom): 0.51

=====

Entry 10:
A plane-wave DFT calculation with meta-GGA SCAN was carried out for a crystal of MnHg3Pd relaxed with PBEsol.

```
MnHg3Pd
1.0
5.099 0.000 0.000
0.000 5.099 0.000
0.000 0.000 5.099
Hg Pd Mn
3 1 1
direct
0.000 0.000 0.500
0.500 0.000 0.000
0.000 0.500 0.000
0.000 0.000 0.000
0.500 0.500 0.500
```

Calculated values
Total magnetization (μB per cell): 5.16
Symmetry: No. 221
Energy (eV/atom): -50.751
Energy relative to the elements (eV per atom): 0.35

=====

Entry 11:
A plane-wave DFT calculation with meta-GGA SCAN was carried out for a crystal of Mn2HgPt relaxed with PBEsol.

```
Mn2HgPt
1.0
-1.181 3.862 1.886
-3.538 2.237 -1.530
-3.716 0.239 2.450
Mn Hg Pt
2 1 1
direct
0.000 0.000 0.000
0.750 0.750 0.750
0.500 0.500 0.500
0.250 0.250 0.250
```

Calculated values
Total magnetization (μB per cell): 8.20
Symmetry: No. 216
Energy (eV/atom): -44.016
Energy relative to the elements (eV per atom): -0.30

=====

Entry 12:
A plane-wave DFT calculation with meta-GGA SCAN was carried out for a crystal of MnHgPt2 relaxed with PBEsol.

```
MnHgPt2
1.0
-0.031 3.979 0.765
-4.052 -0.029 -0.014
2.034 -2.697 3.381
Mn Pt Hg
1 2 1
direct
0.500 0.500 0.000
0.750 0.250 0.500
0.250 0.750 0.500
0.000 0.000 0.000
```

Calculated values
Total magnetization (μB per cell): 4.46
Symmetry: No. 139
Energy (eV/atom): -57.082
Energy relative to the elements (eV per atom): -0.38

=====

Entry 13:
A plane-wave DFT calculation with meta-GGA SCAN was carried out for a crystal of MnHg3Pt relaxed with PBEsol.

```
MnHg3Pt
1.0
5.143 0.000 0.000
0.000 5.143 0.000
0.000 0.000 5.143
Hg Mn Pt
3 1 1
direct
0.000 0.500 0.000
0.500 0.000 0.000
0.000 0.000 0.500
0.500 0.500 0.500
0.000 0.000 0.000
```

Calculated values
Total magnetization (μB per cell): 5.31
Symmetry: No. 221
Energy (eV/atom): -58.245
Energy relative to the elements (eV per atom): 0.34

=====

Entry 14:
A plane-wave DFT calculation with meta-GGA SCAN was carried out for a crystal of MnHgPt2 relaxed with PBEsol.

```
MnHgPt2
1.0
-1.494 0.079 -2.519
-0.290 -3.598 0.059
-5.114 0.462 3.047
Pt Mn Hg
2 1 1
direct
0.000 0.000 0.730
0.000 0.000 0.270
0.500 0.500 0.500
0.500 0.500 0.000
```

Calculated values
Total magnetization (μB per cell): 4.50
Symmetry: No. 47
Energy (eV/atom): -57.090
Energy relative to the elements (eV per atom): -0.39

=====

Entry 15:
A plane-wave DFT calculation with meta-GGA SCAN was carried out for a crystal of MnHg2Pt relaxed with PBEsol.

```
MnHg2Pt
1.0
-1.099 1.160 -2.516
-2.767 -0.593 0.935
-0.365 7.149 3.457
Mn Hg Pt
1 2 1
direct
0.000 0.000 0.525
0.500 0.500 0.280
0.000 0.000 0.976
0.500 0.500 0.719
```

Calculated values
Total magnetization (μB per cell): 4.44
Symmetry: No. 99
Energy (eV/atom): -56.374
Energy relative to the elements (eV per atom): -0.18

=====

Entry 16:
A plane-wave DFT calculation with meta-GGA SCAN was carried out for a crystal of MnHgPt2 relaxed with PBEsol.

```
MnHgPt2
1.0
-1.707 -0.754 2.271
4.424 -1.513 0.922
0.115 4.589 1.610
Mn Pt Hg
1 2 1
direct
0.500 0.000 0.000
0.240 0.481 0.236
0.760 0.519 0.764
0.000 0.000 0.500
```

Calculated values
Total magnetization (μB per cell): 4.39
Symmetry: No. 12
Energy (eV/atom): -56.950
Energy relative to the elements (eV per atom): -0.25

=====

Entry 17:
A plane-wave DFT calculation with meta-GGA SCAN was carried out for a crystal of MnHgPt2 relaxed with PBEsol.

```
MnHgPt2
1.0
2.873 0.000 0.000
1.436 2.488 0.000
1.436 0.829 8.884
Pt Hg Mn
2 1 1
direct
0.748 0.748 0.756
0.996 0.996 0.013
0.502 0.502 0.493
0.254 0.254 0.237
```

Calculated values
Total magnetization (μB per cell): 4.54
Symmetry: No. 160
Energy (eV/atom): -56.778
Energy relative to the elements (eV per atom): -0.08

=====

Entry 18:
A plane-wave DFT calculation with meta-GGA SCAN was carried out for a crystal of MnReHg2 relaxed with PBEsol.

```
MnReHg2
1.0
4.572 0.000 0.000
2.286 3.959 0.000
2.286 1.320 3.733
Mn Hg Re
1 2 1
direct
0.000 0.000 0.000
0.250 0.250 0.250
0.750 0.750 0.750
0.500 0.500 0.500
```

Calculated values
Total magnetization (μB per cell): 2.69
Symmetry: No. 225
Energy (eV/atom): -55.717
Energy relative to the elements (eV per atom): 0.70

=====

Entry 19:
A plane-wave DFT calculation with meta-GGA SCAN was carried out for a crystal of Mn2ReHg relaxed with PBEsol.

```
Mn2ReHg
1.0
2.927 0.000 0.000
0.000 4.376 0.000
-1.463 -2.188 4.427
Hg Mn Re
1 2 1
direct
0.255 0.755 0.510
0.750 0.250 0.499
0.019 0.019 0.037
0.477 0.477 0.953
```

Calculated values
Total magnetization (μB per cell): 5.40
Symmetry: No. 44
Energy (eV/atom): -43.606
Energy relative to the elements (eV per atom): 0.34

=====

Entry 20:
A plane-wave DFT calculation with meta-GGA SCAN was carried out for a crystal of MnHgRh2 relaxed with PBEsol.

```
MnHgRh2
1.0
2.936 0.000 0.000
0.000 2.936 0.000
0.000 0.000 6.825
Mn Rh Hg
1 2 1
direct
0.500 0.500 0.500
0.000 0.000 0.711
0.000 0.000 0.289
0.500 0.500 0.000
```

Calculated values
Total magnetization (μB per cell): 3.83
Symmetry: No. 123
Energy (eV/atom): -38.665
Energy relative to the elements (eV per atom): -0.17